Ac3La2NdAs6 | Alexandria via LeMat-Bulk | GGA-PBE | optimized geometry; formation energy = -1.5079 eV per atom; symmetry = C2/m, No. 12
1.0
-4.2424 1.0256 -0.8624
-2.6551 -5.6524 6.3391
3.1748 7.8586 5.2036
As Ac Nd La
6 3 1 2
Direct
0.6633 0.0879 0.3266
0.6689 0.5776 0.3378
0.3311 0.4224 0.6622
0.0019 0.2416 0.0038
0.9981 0.7584 0.9962
0.3367 0.9121 0.6734
0.1666 0.8336 0.3332
0.8334 0.1664 0.6668
0.5000 0.5000 0.0000
0.5000 0.0000 0.0000
0.1660 0.3322 0.3321
0.8340 0.6679 0.6679

AcLaAs2O8 | Alexandria via LeMat-Bulk | GGA-PBE | optimized geometry; symmetry = I-4m2, No. 119; uncorrected formation energy = -2.37 eV per atom
1.0
6.3085 0.0249 0.0000
-2.7757 5.6651 0.0000
-1.7664 -2.8450 5.3464
O Ac As La
8 1 2 1
Direct
0.3388 0.5172 0.1784
0.9165 0.2428 0.3263
0.4828 0.6612 0.8216
0.7572 0.0835 0.6737
0.9165 0.5902 0.6737
0.4098 0.0835 0.3263
0.3388 0.1604 0.8216
0.8396 0.6612 0.1784
0.0000 0.0000 0.0000
0.7500 0.2500 0.5000
0.5000 0.5000 0.0000
0.2500 0.7500 0.5000

Ac2LaAsO8 | Alexandria via LeMat-Bulk | GGA-PBE | optimized geometry; symmetry = P-3m1, No. 164; uncorrected formation energy = -2.24 eV per atom
1.0
5.5878 0.0000 0.0000
-2.7939 4.8392 0.0000
0.0000 0.0000 6.5357
O Ac As La
8 2 1 1
Direct
0.8455 0.1545 0.8309
0.6909 0.8455 0.1691
0.8455 0.6909 0.8309
0.6667 0.3333 0.4764
0.1545 0.8455 0.1691
0.3091 0.1545 0.8309
0.1545 0.3091 0.1691
0.3333 0.6667 0.5236
0.3333 0.6667 0.8605
0.6667 0.3333 0.1395
0.0000 0.0000 0.0000
0.0000 0.0000 0.5000

AcLaAsO | Alexandria via LeMat-Bulk | GGA-PBE | optimized geometry; symmetry = P4/nmm, No. 129; uncorrected formation energy = -1.96 eV per atom
1.0
4.5310 0.0000 0.0000
0.0000 4.5310 0.0000
0.0000 0.0000 10.0461
La O Ac As
2 2 2 2
Direct
0.0000 0.0000 0.5000
0.5000 0.5000 0.5000
0.5000 0.5000 0.0000
0.0000 0.0000 0.0000
0.5000 0.0000 0.1125
0.0000 0.5000 0.8875
0.5000 0.0000 0.7033
0.0000 0.5000 0.2967